No. 1
# NaAcCuPd (PBE, optimized geometry)
# crystal system: cubic
# magnetization: 0.00 μB per formula unit
# theoretical density: 7139 kg/m³
# formation energy from the elements: -0.174 eV per atom
data_NaAcCuPd
_symmetry_space_group_name_H-M 'P 1'
_symmetry_Int_Tables_number 1
_symmetry_space_group_name_Hall 'P 1'
_cell_length_a 5.1695
_cell_length_b 5.1695
_cell_length_c 5.1695
_cell_angle_alpha 60.00
_cell_angle_beta 60.00
_cell_angle_gamma 60.00
loop_
_atom_site_label
_atom_site_fract_x
_atom_site_fract_y
_atom_site_fract_z
Na1 0.5000 0.5000 0.5000
Ac1 0.0000 0.0000 0.0000
Cu1 0.2500 0.2500 0.2500
Pd1 0.7500 0.7500 0.7500



No. 2
# NaAcCuPt (PBE, optimized geometry)
# crystal system: cubic
# magnetization: 0.00 μB per formula unit
# theoretical density: 8826 kg/m³
# formation energy from the elements: -0.306 eV per atom
data_NaAcCuPt
_symmetry_space_group_name_H-M 'P 1'
_symmetry_Int_Tables_number 1
_symmetry_space_group_name_Hall 'P 1'
_cell_length_a 5.1341
_cell_length_b 5.1341
_cell_length_c 5.1341
_cell_angle_alpha 60.00
_cell_angle_beta 60.00
_cell_angle_gamma 60.00
loop_
_atom_site_label
_atom_site_fract_x
_atom_site_fract_y
_atom_site_fract_z
Na1 0.5000 0.5000 0.5000
Ac1 0.0000 0.0000 0.0000
Cu1 0.2500 0.2500 0.2500
Pt1 0.7500 0.7500 0.7500